## BRuBr2F (SCAN)

Data for BRuBr2F at its PBEsol-relaxed geometry.

Cell and atoms, written as extended XYZ:
```
5
Lattice="3.250 0.000 0.000 0.000 4.636 0.000 0.000 0.000 4.636" Properties=species:S:1:pos:R:3 pbc="T T T"
Br 0.000 2.318 0.000
Br 0.000 0.000 2.318
B 0.000 0.000 0.000
F 1.625 0.000 0.000
Ru 1.625 2.318 2.318
```

## Properties
Formation energy without anion corrections in eV/atom: 0.58
Total magnetization in μB per atom: 0.000